[1]
Material: Sm2ReTc10
Method: DFT, GGA-PBE
State: optimized geometry

```
26
Lattice="6.1182 0.0000 0.0000 0.0000 15.6918 0.0000 0.0000 0.0000 5.5334" Properties=species:S:1:pos:R:3 pbc="T T T"
Sm 1.3882 2.2624 0.0000
Sm 1.6709 10.1083 0.0000
Sm 4.4473 5.5835 0.0000
Sm 4.7300 13.4293 0.0000
Re 0.0000 0.0000 2.7667
Re 3.0591 7.8459 2.7667
Tc 0.0287 2.5407 2.7667
Tc 0.6012 4.8196 2.7667
Tc 0.8265 8.8936 2.7667
Tc 1.3463 6.6558 1.1495
Tc 1.3463 6.6558 4.3839
Tc 1.7128 14.5017 1.1495
Tc 1.7128 14.5017 4.3839
Tc 2.2326 1.0477 2.7667
Tc 2.4579 12.6655 2.7667
Tc 3.0304 10.3866 2.7667
Tc 3.0878 5.3052 2.7667
Tc 3.6603 3.0263 2.7667
Tc 3.8856 14.6440 2.7667
Tc 4.4055 1.1901 1.1495
Tc 4.4055 1.1901 4.3839
Tc 4.7719 9.0360 1.1495
Tc 4.7719 9.0360 4.3839
Tc 5.2917 6.7982 2.7667
Tc 5.5170 10.8722 2.7667
Tc 6.0895 13.1511 2.7667
```

## Properties
Formation enthalpy at 0 K, eV/atom: 0.49
Calculated density, g/cm³: 9.17



[2]
Material: SmRe2Tc10
Method: DFT, GGA-PBE
State: optimized geometry

```
26
Lattice="4.5517 -5.2140 0.0000 4.5517 5.2140 0.0000 0.0000 0.0000 8.8742" Properties=species:S:1:pos:R:3 pbc="T T T"
Sm 4.5517 3.9563 6.6556
Sm 4.5517 -3.9563 2.2185
Re 2.2758 2.6070 0.0000
Re 2.2758 2.6070 4.4371
Re 2.2758 -2.6070 0.0000
Re 2.2758 -2.6070 4.4371
Tc 2.3261 1.3059 6.6556
Tc 4.5517 3.4435 0.9339
Tc 4.5517 3.4435 3.5032
Tc 2.0237 0.0000 0.0000
Tc 2.0237 0.0000 4.4371
Tc 3.2991 1.1482 2.2185
Tc 2.3261 -1.3059 2.2185
Tc 4.5517 1.1089 5.0392
Tc 4.5517 1.1089 8.2721
Tc 3.2991 -1.1482 6.6556
Tc 5.8042 1.1482 2.2185
Tc 4.5517 -1.1089 0.6021
Tc 4.5517 -1.1089 3.8350
Tc 6.7772 1.3059 6.6556
Tc 5.8042 -1.1482 6.6556
Tc 7.0796 0.0000 0.0000
Tc 7.0796 0.0000 4.4371
Tc 4.5517 -3.4435 5.3710
Tc 4.5517 -3.4435 7.9403
Tc 6.7772 -1.3059 2.2185
```

## Properties
Formation enthalpy at 0 K, eV/atom: 0.00
Calculated density, g/cm³: 11.85



[3]
Material: Sm2ReTc3
Method: DFT, GGA-PBE
State: optimized geometry

```
6
Lattice="4.5427 -2.8113 0.0000 4.5427 2.8113 0.0000 -2.8766 0.0000 4.5175" Properties=species:S:1:pos:R:3 pbc="T T T"
Sm 0.0674 0.0000 1.6863
Sm 6.1414 0.0000 2.8312
Re 4.5427 0.0000 0.0000
Tc 2.2714 1.4056 0.0000
Tc 2.2714 -1.4056 0.0000
Tc 3.1044 0.0000 2.2587
```

## Properties
Formation enthalpy at 0 K, eV/atom: -0.03
Calculated density, g/cm³: 11.24



[4]
Material: SmThRe
Method: DFT, GGA-PBE
State: optimized geometry

```
3
Lattice="-1.7515 1.7515 6.8057 1.7515 -1.7515 6.8057 1.7515 1.7515 -6.8057" Properties=species:S:1:pos:R:3 pbc="T T T"
Sm 0.0000 0.0000 0.0000
Th 0.0000 0.0000 3.4481
Re 0.0000 0.0000 8.6144
```

## Properties
Formation enthalpy at 0 K, eV/atom: 0.12
Calculated density, g/cm³: 11.31